No. 1
Entry from Alexandria: crystalline LaSi2Cl at its relaxed geometry (GGA-PBE).

Cell lengths 9.363, 9.363, 7.110 Å; angles 48.82, 48.82, 90.00 degrees
Positions (direct):
1 Si 0.112 0.625 0.250
2 Si 0.875 0.888 0.750
3 Si 0.638 0.125 0.250
4 Si 0.375 0.362 0.750
5 La 0.750 0.250 0.500
6 La 0.000 0.000 0.000
7 Cl 0.250 0.750 0.500
8 Cl 0.500 0.500 0.000

magnetic moment = 0.0 Bohr magnetons per cell
space-group type = No. 122
formation energy (no corrections) = -0.14 eV per atom
relative energy among the computed polymorphs = 733 meV/atom

---

No. 2
Entry from Alexandria: crystalline LaSiCl2 at its relaxed geometry (GGA-PBE).

Cell lengths 5.061, 5.061, 5.061 Å; angles 60.00, 60.00, 60.00 degrees
Positions (direct):
1 Cl 0.250 0.250 0.250
2 Cl 0.750 0.750 0.750
3 Si 0.000 0.000 0.000
4 La 0.500 0.500 0.500

magnetic moment = 0.0 Bohr magnetons per cell
space-group type = No. 225
formation energy (no corrections) = -0.74 eV per atom
relative energy among the computed polymorphs = 377 meV/atom

---

No. 3
Entry from Alexandria: crystalline LaSi2Cl at its relaxed geometry (GGA-PBE).

Cell lengths 5.550, 5.550, 3.270 Å; angles 90.00, 90.00, 118.83 degrees
Positions (direct):
1 Si 0.000 0.000 0.000
2 Si 0.500 0.500 0.000
3 La 0.000 0.500 0.500
4 Cl 0.500 0.000 0.500

magnetic moment = 0.0 Bohr magnetons per cell
space-group type = No. 65
formation energy (no corrections) = -0.17 eV per atom
relative energy among the computed polymorphs = 707 meV/atom

---

No. 4
Entry from Alexandria: crystalline LaSiCl2 at its relaxed geometry (GGA-PBE).

Cell lengths 4.646, 4.646, 10.165 Å; angles 76.79, 76.79, 90.00 degrees
Positions (direct):
1 Si 0.500 0.500 0.000
2 Si 0.250 0.750 0.500
3 Cl 0.126 0.625 0.250
4 Cl 0.375 0.376 0.750
5 Cl 0.875 0.874 0.750
6 Cl 0.624 0.125 0.250
7 La 0.000 0.000 0.000
8 La 0.750 0.250 0.500

magnetic moment = 0.0 Bohr magnetons per cell
space-group type = No. 122
formation energy (no corrections) = -0.93 eV per atom
relative energy among the computed polymorphs = 194 meV/atom

---

No. 5
Entry from Alexandria: crystalline LaSiCl2 at its relaxed geometry (GGA-PBE).

Cell lengths 3.565, 3.871, 7.027 Å; angles 90.00, 90.00, 90.00 degrees
Positions (direct):
1 La 0.500 0.500 0.250
2 Cl 0.000 0.000 0.038
3 Cl 0.000 0.000 0.462
4 Si 0.500 0.500 0.750

magnetic moment = 0.3 Bohr magnetons per cell
space-group type = No. 47
formation energy (no corrections) = -0.76 eV per atom
relative energy among the computed polymorphs = 366 meV/atom

---

No. 6
Entry from Alexandria: crystalline LaSiCl2 at its relaxed geometry (GGA-PBE).

Cell lengths 3.415, 3.415, 11.281 Å; angles 90.00, 90.00, 90.00 degrees
Positions (direct):
1 Cl 0.000 0.000 0.101
2 Cl 0.000 0.000 0.399
3 La 0.500 0.500 0.250
4 Si 0.500 0.500 0.750

magnetic moment = 0.0 Bohr magnetons per cell
space-group type = No. 123
formation energy (no corrections) = -0.81 eV per atom
relative energy among the computed polymorphs = 308 meV/atom

---

No. 7
Entry from Alexandria: crystalline La8Si3Cl4 at its relaxed geometry (GGA-PBE).

Cell lengths 8.548, 8.548, 9.075 Å; angles 61.90, 61.90, 60.00 degrees
Positions (direct):
1 Cl 0.500 0.500 0.500
2 Cl 0.000 0.000 0.000
3 Cl 0.639 0.639 0.083
4 Cl 0.361 0.361 0.917
5 La 0.254 0.774 0.718
6 La 0.746 0.226 0.282
7 La 0.746 0.746 0.282
8 La 0.254 0.254 0.718
9 La 0.238 0.238 0.287
10 La 0.762 0.762 0.713
11 La 0.226 0.746 0.282
12 La 0.774 0.254 0.718
13 Si 0.000 0.000 0.500
14 Si 0.000 0.500 0.500
15 Si 0.500 0.000 0.500

magnetic moment = 0.0 Bohr magnetons per cell
space-group type = No. 166
formation energy (no corrections) = -1.10 eV per atom

---

No. 8
Entry from Alexandria: crystalline LaSiCl4 at its relaxed geometry (GGA-PBE).

Cell lengths 5.871, 5.871, 5.871 Å; angles 60.00, 60.00, 60.00 degrees
Positions (direct):
1 Cl 0.375 0.375 0.375
2 Cl 0.375 0.375 0.875
3 Cl 0.875 0.375 0.375
4 Cl 0.375 0.875 0.375
5 Si 0.000 0.000 0.000
6 La 0.750 0.750 0.750

magnetic moment = 1.0 Bohr magnetons per cell
space-group type = No. 216
formation energy (no corrections) = -0.20 eV per atom

---

No. 9
Entry from Alexandria: crystalline La4SiCl5 at its relaxed geometry (GGA-PBE).

Cell lengths 4.209, 8.589, 9.536 Å; angles 105.01, 102.75, 90.00 degrees
Positions (direct):
1 La 0.000 0.765 0.000
2 La 0.342 0.903 0.684
3 La 0.658 0.097 0.316
4 La 0.000 0.235 0.000
5 Cl 0.500 0.500 0.000
6 Cl 0.166 0.333 0.333
7 Cl 0.834 0.667 0.667
8 Cl 0.170 0.861 0.339
9 Cl 0.830 0.139 0.661
10 Si 0.500 0.000 0.000

magnetic moment = 0.0 Bohr magnetons per cell
space-group type = No. 12
formation energy (no corrections) = -1.83 eV per atom

---

No. 10
Entry from Alexandria: crystalline LaSiCl2 at its relaxed geometry (GGA-PBE).

Cell lengths 9.710, 9.710, 9.710 Å; angles 21.17, 21.17, 21.17 degrees
Positions (direct):
1 Si 0.000 0.000 0.000
2 La 0.500 0.500 0.500
3 Cl 0.094 0.094 0.094
4 Cl 0.906 0.906 0.906

magnetic moment = 0.0 Bohr magnetons per cell
space-group type = No. 166
formation energy (no corrections) = -0.84 eV per atom
relative energy among the computed polymorphs = 283 meV/atom

---

No. 11
Entry from Alexandria: crystalline LaSi2Cl at its relaxed geometry (GGA-PBE).

Cell lengths 3.888, 4.196, 6.131 Å; angles 71.01, 90.00, 90.00 degrees
Positions (direct):
1 Cl 0.000 0.456 0.559
2 Si 0.000 0.947 0.078
3 Si 0.500 0.215 0.147
4 La 0.500 0.882 0.715

magnetic moment = 0.0 Bohr magnetons per cell
space-group type = No. 6
formation energy (no corrections) = -0.67 eV per atom
relative energy among the computed polymorphs = 206 meV/atom

---

No. 12
Entry from Alexandria: crystalline LaSi2Cl at its relaxed geometry (GGA-PBE).

Cell lengths 9.206, 9.206, 9.206 Å; angles 20.91, 20.91, 20.91 degrees
Positions (direct):
1 La 0.750 0.750 0.750
2 Si 0.508 0.508 0.508
3 Si 0.992 0.992 0.992
4 Cl 0.250 0.250 0.250

magnetic moment = 0.0 Bohr magnetons per cell
space-group type = No. 166
formation energy (no corrections) = 0.33 eV per atom
relative energy among the computed polymorphs = 1208 meV/atom

---

No. 13
Entry from Alexandria: crystalline LaSiCl2 at its relaxed geometry (GGA-PBE).

Cell lengths 6.211, 6.211, 4.439 Å; angles 69.07, 69.07, 36.02 degrees
Positions (direct):
1 Cl 0.232 0.232 0.268
2 Cl 0.989 0.989 0.012
3 Si 0.757 0.757 0.742
4 La 0.522 0.522 0.478

magnetic moment = 0.0 Bohr magnetons per cell
space-group type = No. 8
formation energy (no corrections) = -0.92 eV per atom
relative energy among the computed polymorphs = 203 meV/atom

---

No. 14
Entry from Alexandria: crystalline LaSi2Cl at its relaxed geometry (GGA-PBE).

Cell lengths 5.083, 5.083, 5.083 Å; angles 60.00, 60.00, 60.00 degrees
Positions (direct):
1 Si 0.250 0.250 0.250
2 Si 0.750 0.750 0.750
3 La 0.500 0.500 0.500
4 Cl 0.000 0.000 0.000

magnetic moment = 0.0 Bohr magnetons per cell
space-group type = No. 225
formation energy (no corrections) = 0.17 eV per atom
relative energy among the computed polymorphs = 1042 meV/atom

---

No. 15
Entry from Alexandria: crystalline LaSiCl3 at its relaxed geometry (GGA-PBE).

Cell lengths 5.598, 5.598, 5.598 Å; angles 90.00, 90.00, 90.00 degrees
Positions (direct):
1 Cl 0.000 0.000 0.500
2 Cl 0.500 0.000 0.000
3 Cl 0.000 0.500 0.000
4 La 0.000 0.000 0.000
5 Si 0.500 0.500 0.500

magnetic moment = 2.0 Bohr magnetons per cell
space-group type = No. 221
formation energy (no corrections) = -0.98 eV per atom
relative energy among the computed polymorphs = 0 meV/atom

---

No. 16
Entry from Alexandria: crystalline LaSiCl2 at its relaxed geometry (GGA-PBE).

Cell lengths 5.202, 5.202, 5.202 Å; angles 60.00, 60.00, 60.00 degrees
Positions (direct):
1 Si 0.750 0.750 0.750
2 Cl 0.000 0.000 0.000
3 Cl 0.250 0.250 0.250
4 La 0.500 0.500 0.500

magnetic moment = 3.0 Bohr magnetons per cell
space-group type = No. 216
formation energy (no corrections) = -0.66 eV per atom
relative energy among the computed polymorphs = 465 meV/atom

---

No. 17
Entry from Alexandria: crystalline LaSiCl2 at its relaxed geometry (GGA-PBE).

Cell lengths 10.890, 10.890, 10.890 Å; angles 18.97, 18.97, 18.97 degrees
Positions (direct):
1 Cl 0.522 0.522 0.522
2 Cl 0.978 0.978 0.978
3 Si 0.750 0.750 0.750
4 La 0.250 0.250 0.250

magnetic moment = 0.3 Bohr magnetons per cell
space-group type = No. 166
formation energy (no corrections) = -0.75 eV per atom
relative energy among the computed polymorphs = 375 meV/atom

---

No. 18
Entry from Alexandria: crystalline LaSi2Cl at its relaxed geometry (GGA-PBE).

Cell lengths 6.650, 3.900, 3.896 Å; angles 88.63, 73.39, 106.63 degrees
Positions (direct):
1 Si 0.000 0.000 0.000
2 Si 0.000 0.500 0.500
3 Cl 0.500 0.500 0.000
4 La 0.500 0.000 0.500

magnetic moment = 0.0 Bohr magnetons per cell
space-group type = No. 69
formation energy (no corrections) = -0.42 eV per atom
relative energy among the computed polymorphs = 454 meV/atom

---

No. 19
Entry from Alexandria: crystalline La4Si2Cl3 at its relaxed geometry (GGA-PBE).

Cell lengths 4.356, 4.356, 17.150 Å; angles 90.06, 89.94, 120.00 degrees
Positions (direct):
1 La 0.334 0.666 0.892
2 La 0.999 0.001 0.303
3 La 0.001 0.999 0.697
4 La 0.666 0.334 0.108
5 Cl 0.334 0.666 0.605
6 Cl 0.000 0.000 0.000
7 Cl 0.666 0.334 0.395
8 Si 0.667 0.333 0.798
9 Si 0.333 0.667 0.202

magnetic moment = 0.0 Bohr magnetons per cell
space-group type = No. 12
formation energy (no corrections) = -1.47 eV per atom

---

No. 20
Entry from Alexandria: crystalline La6SiCl5 at its relaxed geometry (GGA-PBE).

Cell lengths 7.290, 7.226, 7.266 Å; angles 60.18, 80.39, 70.39 degrees
Positions (direct):
1 La 0.753 0.084 0.330
2 La 0.242 0.253 0.000
3 La 0.758 0.747 0.000
4 La 0.247 0.916 0.670
5 La 0.753 0.414 0.670
6 La 0.247 0.586 0.330
7 Cl 0.500 0.500 0.000
8 Cl 0.500 0.840 0.320
9 Cl 0.000 0.669 0.663
10 Cl 0.000 0.331 0.337
11 Cl 0.500 0.160 0.680
12 Si 0.000 0.000 0.000

magnetic moment = 0.0 Bohr magnetons per cell
space-group type = No. 12
formation energy (no corrections) = -1.47 eV per atom

---

For reference, N(E_F) by record: 1.4, 3.9, 3.2, 4.2, 1.5, 2.6, 10.3, 4.2, 3.2, 2.3, 1.9, 3.6, 1.8, 1.9, 8.3, 1.8, 2.5, 2.6, 3.3, 7.9 states/eV/f.u..